Entry from Alexandria: GdThMn after structural relaxation (PBE-GGA).

Lattice parameters (Å, degrees): 3.6117 3.6117 11.7960 90.00 90.00 90.00
Element x y z (fractional)
Gd1 0.0000 0.0000 0.0000
Gd2 0.5000 0.5000 0.5000
Th1 0.0000 0.0000 0.2903
Th2 0.5000 0.5000 0.7903
Mn1 0.0000 0.0000 0.6594
Mn2 0.5000 0.5000 0.1594

## Properties
As for the space group: I4mm, No. 107. For the density of states at the Fermi level, the calculation gives 10.986 states/eV per cell. The calculated density comes out at 9.59 g/cm3. The value obtained for the uncorrected energy is -10.01 eV per atom. The value obtained for the formation enthalpy at 0 K is 0.214 eV per atom. The volume comes out at 153.87 Å³/cell.